Record 1
The following is a DFT calculation (GGA-PBE) of Cs3WAu after structural relaxation.

a b c (Å): 6.8140 6.8140 6.8140
angles (deg): 90.00 90.00 90.00
With the nearest neighbours (Å) after each atom.
Fractional coordinates of all 5 atoms:
1 Cs 0.0000 0.0000 0.5000  2 Au 3.41
2 Cs 0.0000 0.5000 0.0000  2 Au 3.41
3 Cs 0.5000 0.0000 0.0000  2 Au 3.41
4 W 0.5000 0.5000 0.5000  12 Cs 4.82
5 Au 0.0000 0.0000 0.0000  6 Cs 3.41

Calculated values
The calculation puts the mass density at 4.1 g/cm3. As for the symmetry: Pm-3m, No. 221. For the calculated total energy, the calculation gives -2.60 eV per atom. The formation energy is 1.161 eV per atom. Its crystal system is cubic. For the relative energy among the computed polymorphs, the calculation gives 0 meV/atom. As for the volume: 63.28 Å³/atom.


Record 2
The following is a DFT calculation (GGA-PBE) of CsW3Au after structural relaxation.

a b c (Å): 5.0640 5.0640 5.0640
angles (deg): 90.00 90.00 90.00
With the nearest neighbours (Å) after each atom.
Fractional coordinates of all 5 atoms:
1 Cs 0.0000 0.0000 0.0000  12 W 3.58
2 W 0.0000 0.5000 0.5000  2 Au 2.53
3 W 0.5000 0.0000 0.5000  2 Au 2.53
4 W 0.5000 0.5000 0.0000  2 Au 2.53
5 Au 0.5000 0.5000 0.5000  6 W 2.53

Calculated values
The calculation puts the mass density at 11.3 g/cm3. As for the symmetry: Pm-3m, No. 221. For the calculated total energy, the calculation gives -5.69 eV per atom. The formation energy is 2.909 eV per atom. Its crystal system is cubic. For the relative energy among the computed polymorphs, the calculation gives 0 meV/atom. As for the volume: 25.97 Å³/atom.


Record 3
The following is a DFT calculation (GGA-PBE) of CsY2WAu after structural relaxation.

a b c (Å): 5.4419 5.4419 5.4730
angles (deg): 90.00 90.00 90.00
With the nearest neighbours (Å) after each atom.
Fractional coordinates of all 5 atoms:
1 Cs 0.0000 0.0000 0.0000  4 Au 3.85, 8 Y 3.86
2 Y 0.0000 0.5000 0.5000  2 W 2.72
3 Y 0.5000 0.0000 0.5000  2 W 2.72
4 W 0.5000 0.5000 0.5000  4 Y 2.72, 2 Au 2.74
5 Au 0.5000 0.5000 0.0000  2 W 2.74

Calculated values
The calculation puts the mass density at 7.1 g/cm3. As for the symmetry: P4/mmm, No. 123. For the calculated total energy, the calculation gives -5.34 eV per atom. The formation energy is 0.662 eV per atom. Its crystal system is tetragonal. As for the volume: 32.42 Å³/atom.